Material: BiSb2Pb2
Method: DFT, PBE
State: relaxed

Cell lengths 9.5276, 9.5276, 3.4609 Å; angles 90.00, 90.00, 90.00 degrees
Fractional positions:
Bi1 0.0000 0.0000 0.0000
Bi2 0.5000 0.5000 0.0000
Sb1 0.1646 0.3354 0.5000
Sb2 0.3354 0.8354 0.5000
Sb3 0.6646 0.1646 0.5000
Sb4 0.8354 0.6646 0.5000
Pb1 0.1363 0.6363 0.0000
Pb2 0.3637 0.1363 0.0000
Pb3 0.6363 0.8637 0.0000
Pb4 0.8637 0.3637 0.0000

total energy = -3.72 eV per atom
ΔE_f (raw) = 193 meV/atom
offset from the most stable computed form = 102 meV/atom
size of the total moment = 0.00 μB/atom
SG = P4/mbm (127)

***

Material: BiSb2Pb4
Method: DFT, PBE
State: relaxed

Cell lengths 8.3913, 8.3913, 8.3499 Å; angles 109.43, 109.43, 109.75 degrees
Fractional positions:
Bi1 0.1255 0.8745 0.5000
Bi2 0.8745 0.1255 0.0000
Sb1 0.0007 0.3740 0.6237
Sb2 0.3740 0.0007 0.1237
Sb3 0.4988 0.6260 0.3753
Sb4 0.6260 0.4988 0.8753
Pb1 0.1000 0.5972 0.0911
Pb2 0.2536 0.2571 0.9066
Pb3 0.2571 0.2536 0.4066
Pb4 0.4032 0.7453 0.7520
Pb5 0.5972 0.1000 0.5911
Pb6 0.7444 0.8999 0.2479
Pb7 0.7453 0.4032 0.2520
Pb8 0.8999 0.7444 0.7479

total energy = -3.82 eV per atom
ΔE_f (raw) = 27 meV/atom
offset from the most stable computed form = 0 meV/atom
size of the total moment = 0.00 μB/atom
SG = Cc (9)

***

Material: BiSbPb2
Method: DFT, PBE
State: relaxed

Cell lengths 4.4193, 4.4193, 23.7476 Å; angles 90.00, 90.00, 120.00 degrees
Fractional positions:
Bi1 0.0000 0.0000 0.0000
Bi2 0.3333 0.6667 0.6667
Bi3 0.6667 0.3333 0.3333
Sb1 0.0000 0.0000 0.5000
Sb2 0.3333 0.6667 0.1667
Sb3 0.6667 0.3333 0.8333
Pb1 0.0000 0.0000 0.2454
Pb2 0.0000 0.0000 0.7546
Pb3 0.3333 0.6667 0.4213
Pb4 0.3333 0.6667 0.9120
Pb5 0.6667 0.3333 0.0880
Pb6 0.6667 0.3333 0.5787

total energy = -3.76 eV per atom
ΔE_f (raw) = 96 meV/atom
offset from the most stable computed form = 36 meV/atom
size of the total moment = 0.00 μB/atom
SG = R-3m (166)

***

Which of these has the highest total energy? BiSb2Pb2

***

Which of these has the highest offset from the most stable computed form? BiSb2Pb2